Entry 1:
The following is a PBE-GGA calculation of Sm4DyErTm2 after structural relaxation, from the Alexandria database.

Calculated volume ... 256 Å³ per cell
Total magnetization ... 0.00 μB per cell
Formation energy from the elements ... 1.8 kJ/mol of atoms

Lattice parameters (Å, degrees): 5.0683 5.0524 11.2111 63.20 90.00 90.00
Element x y z (fractional)
Sm 0.0000 0.7508 0.7496
Sm 0.5000 0.7488 0.2507
Sm 0.0000 0.2492 0.2504
Sm 0.5000 0.2512 0.7493
Tm 0.0000 0.0000 0.0000
Tm 0.5000 0.0000 0.5000
Dy 0.5000 0.5000 0.0000
Er 0.0000 0.5000 0.5000

Entry 2:
The following is a PBE-GGA calculation of SmDyEr2Tm after structural relaxation, from the Alexandria database.

Calculated volume ... 339 Å³ per cell
Total magnetization ... 0.00 μB per cell
Formation energy from the elements ... 38.5 kJ/mol of atoms

Lattice parameters (Å, degrees): 7.1698 8.3270 7.0409 126.25 90.00 90.00
Element x y z (fractional)
Er 0.0000 0.3105 0.0000
Er 0.0000 0.6895 0.0000
Er 0.5000 0.3105 0.0000
Er 0.5000 0.6895 0.0000
Tm 0.7500 0.7204 0.4409
Tm 0.2500 0.2796 0.5591
Sm 0.2500 0.7271 0.4542
Sm 0.7500 0.2729 0.5458
Dy 0.2500 0.0003 0.0006
Dy 0.7500 0.9997 0.9994

Entry 3:
The following is a PBE-GGA calculation of Sm2DyEr3Tm6 after structural relaxation, from the Alexandria database.

Calculated volume ... 369 Å³ per cell
Total magnetization ... 0.00 μB per cell
Formation energy from the elements ... 2.3 kJ/mol of atoms

Lattice parameters (Å, degrees): 6.0958 6.0958 11.6399 95.01 95.01 119.94
Element x y z (fractional)
Tm 0.2481 0.2481 0.7475
Tm 0.5821 0.9152 0.7476
Tm 0.9152 0.5821 0.7476
Tm 0.0848 0.4179 0.2524
Tm 0.4179 0.0848 0.2524
Tm 0.7519 0.7519 0.2525
Er 0.5000 0.5000 0.5000
Er 0.1666 0.8334 0.5000
Er 0.8334 0.1666 0.5000
Sm 0.3334 0.6666 0.0000
Sm 0.6666 0.3334 0.0000
Dy 0.0000 0.0000 0.0000

Entry 4:
The following is a PBE-GGA calculation of Sm2Dy4ErTm2 after structural relaxation, from the Alexandria database.

Calculated volume ... 285 Å³ per cell
Total magnetization ... 0.00 μB per cell
Formation energy from the elements ... 1.1 kJ/mol of atoms

Lattice parameters (Å, degrees): 3.5795 9.4585 9.5016 115.25 90.00 100.91
Element x y z (fractional)
Sm 0.1482 0.2964 0.6669
Sm 0.8518 0.7036 0.3331
Dy 0.1847 0.3693 0.3318
Dy 0.5183 0.0367 0.3304
Dy 0.4817 0.9633 0.6696
Dy 0.8153 0.6307 0.6682
Tm 0.6666 0.3332 0.0012
Tm 0.3334 0.6668 0.9988
Er 0.0000 0.0000 0.0000

Entry 5:
The following is a PBE-GGA calculation of Sm4Dy2ErTm2 after structural relaxation, from the Alexandria database.

Calculated volume ... 289 Å³ per cell
Total magnetization ... 0.00 μB per cell
Formation energy from the elements ... 1.6 kJ/mol of atoms

Lattice parameters (Å, degrees): 3.5961 9.5017 9.5648 115.20 90.00 100.91
Element x y z (fractional)
Tm 0.3329 0.6659 0.0006
Tm 0.6671 0.3341 0.9994
Sm 0.1849 0.3699 0.3306
Sm 0.8151 0.6301 0.6694
Sm 0.4819 0.9638 0.6676
Sm 0.5181 0.0362 0.3324
Er 0.0000 0.0000 0.0000
Dy 0.1490 0.2979 0.6715
Dy 0.8510 0.7021 0.3285

Entry 6:
The following is a PBE-GGA calculation of Sm4DyEr2Tm2 after structural relaxation, from the Alexandria database.

Calculated volume ... 287 Å³ per cell
Total magnetization ... 0.00 μB per cell
Formation energy from the elements ... 2.0 kJ/mol of atoms

Lattice parameters (Å, degrees): 5.0050 7.9649 7.9841 107.35 90.00 108.31
Element x y z (fractional)
Sm 0.7772 0.5544 0.6679
Sm 0.5542 0.1085 0.3309
Sm 0.2228 0.4456 0.3321
Sm 0.4458 0.8915 0.6691
Tm 0.3328 0.6655 0.0003
Tm 0.6672 0.3345 0.9997
Er 0.8886 0.7771 0.3313
Er 0.1114 0.2229 0.6687
Dy 0.0000 0.0000 0.0000

Entry 7:
The following is a PBE-GGA calculation of SmDyEr5Tm2 after structural relaxation, from the Alexandria database.

Calculated volume ... 570 Å³ per cell
Total magnetization ... 0.00 μB per cell
Formation energy from the elements ... 15.9 kJ/mol of atoms

Lattice parameters (Å, degrees): 5.5452 10.2045 10.4751 90.00 90.00 105.77
Element x y z (fractional)
Tm 0.8868 0.7737 0.8185
Tm 0.1132 0.2263 0.3185
Tm 0.1101 0.2203 0.7367
Tm 0.8899 0.7797 0.2367
Er 0.2992 0.5983 0.7094
Er 0.9822 0.9644 0.5251
Er 0.5217 0.0434 0.2366
Er 0.7008 0.4017 0.2094
Er 0.3893 0.7786 0.0230
Er 0.6107 0.2214 0.5230
Er 0.4783 0.9566 0.7366
Er 0.0178 0.0356 0.0251
Er 0.2813 0.5625 0.3109
Er 0.7187 0.4375 0.8109
Sm 0.4155 0.8310 0.4518
Sm 0.5845 0.1690 0.9518
Dy 0.8003 0.6005 0.5120
Dy 0.1997 0.3995 0.0120

Entry 8:
The following is a PBE-GGA calculation of Sm2DyEr6Tm3 after structural relaxation, from the Alexandria database.

Calculated volume ... 371 Å³ per cell
Total magnetization ... 0.00 μB per cell
Formation energy from the elements ... 2.2 kJ/mol of atoms

Lattice parameters (Å, degrees): 6.1017 6.1017 11.6679 94.99 94.99 119.94
Element x y z (fractional)
Er 0.0852 0.4182 0.2530
Er 0.2476 0.2476 0.7469
Er 0.4182 0.0852 0.2530
Er 0.7524 0.7524 0.2531
Er 0.5818 0.9148 0.7470
Er 0.9148 0.5818 0.7470
Dy 0.0000 0.0000 0.0000
Tm 0.8335 0.1665 0.5000
Tm 0.1665 0.8335 0.5000
Tm 0.5000 0.5000 0.5000
Sm 0.3334 0.6666 0.0000
Sm 0.6666 0.3334 0.0000

Entry 9:
The following is a PBE-GGA calculation of SmDy2ErTm6 after structural relaxation, from the Alexandria database.

Calculated volume ... 624 Å³ per cell
Total magnetization ... 0.00 μB per cell
Formation energy from the elements ... 11.8 kJ/mol of atoms

Lattice parameters (Å, degrees): 9.4331 8.6852 8.6852 117.92 93.77 93.77
Element x y z (fractional)
Tm 0.1837 0.5691 0.0200
Tm 0.6837 0.0200 0.5691
Tm 0.8818 0.2907 0.5067
Tm 0.5577 0.7490 0.1258
Tm 0.3818 0.5067 0.2907
Tm 0.3163 0.9800 0.4309
Tm 0.9423 0.8742 0.2510
Tm 0.8163 0.4309 0.9800
Tm 0.6182 0.4933 0.7093
Tm 0.0577 0.1258 0.7490
Tm 0.4423 0.2510 0.8742
Tm 0.1182 0.7093 0.4933
Er 0.7500 0.5908 0.4092
Er 0.2500 0.4092 0.5908
Sm 0.7500 0.0240 0.9760
Sm 0.2500 0.9760 0.0240
Dy 0.4544 0.8027 0.6962
Dy 0.9544 0.6962 0.8027
Dy 0.0456 0.3038 0.1973
Dy 0.5456 0.1973 0.3038

Entry 10:
The following is a PBE-GGA calculation of Sm4Dy2Y2Er after structural relaxation, from the Alexandria database.

Calculated volume ... 293 Å³ per cell
Total magnetization ... 0.00 μB per cell
Formation energy from the elements ... 1.7 kJ/mol of atoms

Lattice parameters (Å, degrees): 3.5791 9.4809 8.7909 89.96 90.00 100.88
Element x y z (fractional)
Dy 0.6664 0.3328 0.0006
Dy 0.3336 0.6672 0.9994
Sm 0.7779 0.5559 0.6689
Sm 0.4448 0.8895 0.6700
Sm 0.5552 0.1105 0.3300
Sm 0.2221 0.4441 0.3311
Er 0.0000 0.0000 0.0000
Y 0.8890 0.7779 0.3311
Y 0.1110 0.2221 0.6689